No. 1
This record from Alexandria describes a relaxed PrTl2Cu crystal. The functional is PBE-GGA.

a b c (Å): 4.6126 4.6885 4.6885
angles (deg): 90.00 90.00 90.00
Last column: nearest neighbours and their distance in Å.
Sites, in units of the cell vectors:
Pr  0.5000  0.5000  0.5000  8 Tl 3.29, 4 Cu 3.32
Tl  0.0000  0.0000  0.5000  4 Pr 3.29, 4 Cu 3.29, 4 Tl 3.32
Tl  0.0000  0.5000  0.0000  4 Pr 3.29, 4 Cu 3.29, 4 Tl 3.32
Cu  0.5000  0.0000  0.0000  8 Tl 3.29, 4 Pr 3.32

Computed properties:
As for the symmetry: P4/mmm, No. 123. The energy above the most stable polymorph in this dataset comes out at 31 meV per atom. The energy of formation comes out at -0.08 eV/atom.


No. 2
This record from Alexandria describes a relaxed KSbBr2 crystal. The functional is PBE-GGA.

a b c (Å): 6.1541 6.1501 7.2690
angles (deg): 81.09 98.97 35.81
Last column: nearest neighbours and their distance in Å.
Sites, in units of the cell vectors:
Br  0.0199  0.0189  0.1250  1 Sb 2.76
Br  0.7527  0.7525  0.6250  2 Sb 3.14, 3 K 3.20-3.27
K  0.4725  0.4736  0.6251  5 Br 3.18-3.27
Sb  0.2549  0.2549  0.1250  1 Br 2.76

Computed properties:
As for the symmetry: C2, No. 5. The energy above the most stable polymorph in this dataset comes out at 57 meV per atom. For the uncorrected formation energy, the calculation gives -0.718 eV per atom.


No. 3
This record from Alexandria describes a relaxed Tb6Sm3Dy2 crystal. The functional is PBE-GGA.

a b c (Å): 4.7524 4.7524 16.9839
angles (deg): 98.04 98.04 90.00
Last column: nearest neighbours and their distance in Å.
Sites, in units of the cell vectors:
Tb  0.1205  0.6205  0.2410  6 Tb 3.36-3.44, 2 Dy 3.44, 2 Sm 3.59
Tb  0.6205  0.1205  0.2410  6 Tb 3.36-3.44, 2 Dy 3.44, 2 Sm 3.59
Tb  0.8795  0.3795  0.7590  6 Tb 3.36-3.44, 2 Dy 3.44, 2 Sm 3.59
Tb  0.3795  0.8795  0.7590  6 Tb 3.36-3.44, 2 Dy 3.44, 2 Sm 3.59
Tb  0.6953  0.6953  0.3907  5 Sm 3.37-3.44, 4 Tb 3.44
Tb  0.3047  0.3047  0.6093  5 Sm 3.37-3.44, 4 Tb 3.44
Sm  0.0000  0.0000  0.0000  8 Dy 3.69
Sm  0.7987  0.7987  0.5975  9 Tb 3.37-3.59
Sm  0.2013  0.2013  0.4025  9 Tb 3.37-3.59
Dy  0.4542  0.4542  0.9083  1 Dy 3.05
Dy  0.5458  0.5458  0.0917  1 Dy 3.05

Computed properties:
As for the symmetry: I4/mmm, No. 139. The energy above the most stable polymorph in this dataset comes out at 262 meV per atom. The energy of formation comes out at 0.28 eV/atom.


No. 4
This record from Alexandria describes a relaxed SmYZn10 crystal. The functional is PBE-GGA.

a b c (Å): 4.2227 5.3418 9.2267
angles (deg): 90.00 90.00 90.00
Last column: nearest neighbours and their distance in Å.
Sites, in units of the cell vectors:
Sm  0.0000  0.5000  0.5000  18 Zn 3.09-3.41
Y  0.0000  0.0000  0.0000  18 Zn 3.05-3.40
Zn  0.0000  0.0000  0.3311  6 Zn 2.61-2.62
Zn  0.0000  0.5000  0.8364  6 Zn 2.60-2.62
Zn  0.0000  0.5000  0.1636  6 Zn 2.60-2.62
Zn  0.0000  0.0000  0.6689  6 Zn 2.61-2.62
Zn  0.5000  0.0000  0.5000  8 Zn 2.62-2.67
Zn  0.5000  0.5000  0.0000  8 Zn 2.60-2.66
Zn  0.5000  0.2494  0.2488  8 Zn 2.61-2.68
Zn  0.5000  0.7506  0.7512  8 Zn 2.61-2.68
Zn  0.5000  0.7506  0.2488  8 Zn 2.61-2.68
Zn  0.5000  0.2494  0.7512  8 Zn 2.61-2.68

Computed properties:
As for the symmetry: Pmmm, No. 47. The energy of formation comes out at -0.29 eV/atom.


no.,E_tot (eV per atom)
1,-3.49
2,-2.86
3,-4.37
4,-2.28